{
  "formula": "FePNO2",
  "functional": "PBE with a Hubbard U",
  "state": "optimized geometry",
  "lattice_angstrom": [[3.5550, 0.0000, 0.0000], [0.0000, 3.5550, 0.0000], [0.0000, 0.0000, 3.4644]],
  "species": ["Fe", "P", "N", "O", "O"],
  "frac_coords": [[0.0000, 0.0000, 0.0000], [0.5000, 0.5000, 0.5000], [0.5000, 0.5000, 0.0000], [0.0000, 0.5000, 0.5000], [0.5000, 0.0000, 0.5000]],
  "space_group": "P4/mmm",
  "volume_a3_per_atom": 8.76,
  "e_tot_ev_per_cell": -31.4,
  "dos_ef_per_ev_cell": 0.9
}